Material: Na4CuAs2Pt
Method: DFT, PBE-GGA
State: optimized geometry

Unit cell a=5.6749 b=5.6749 c=5.3461 alpha=90.76 beta=90.76 gamma=102.86
Closest atoms and distances in Å follow each position.
Fractional positions:
As: 0.2833 0.2833 0.2434  1 Cu 2.37, 1 Pt 2.45
As: 0.7167 0.7167 0.7566  1 Cu 2.37, 1 Pt 2.45
Cu: 0.0000 0.0000 0.0000  2 As 2.37
Na: 0.8316 0.4751 0.2559  4 As 3.00-3.14, 3 Na 3.16-3.34, 2 Pt 3.18-3.33, 2 Cu 3.25-3.34
Na: 0.4751 0.8316 0.2559  4 As 3.00-3.14, 3 Na 3.16-3.34, 2 Pt 3.18-3.33, 2 Cu 3.25-3.34
Na: 0.5249 0.1684 0.7441  4 As 3.00-3.14, 3 Na 3.16-3.34, 2 Pt 3.18-3.33, 2 Cu 3.25-3.34
Na: 0.1684 0.5249 0.7441  4 As 3.00-3.14, 3 Na 3.16-3.34, 2 Pt 3.18-3.33, 2 Cu 3.25-3.34
Pt: 0.0000 0.0000 0.5000  2 As 2.45, 2 Cu 2.67

The value obtained for the total DFT energy (no corrections) is -3.46 eV/atom. The spin magnetization is 0.00 Bohr magnetons per cell.

Material: RbNaCuAs
Method: DFT, PBE-GGA
State: optimized geometry

Unit cell a=6.2253 b=5.4385 c=6.5731 alpha=90.00 beta=103.33 gamma=90.00
Closest atoms and distances in Å follow each position.
Fractional positions:
As: 0.1982 0.7500 0.2720  2 Cu 2.36
As: 0.8018 0.2500 0.7280  2 Cu 2.36
Cu: 0.0000 0.0000 0.0000  2 As 2.36
Cu: 0.0000 0.5000 0.0000  2 As 2.36
Na: 0.1400 0.2500 0.4592  3 As 3.04, 2 Cu 3.24, 2 Na 3.34
Na: 0.8600 0.7500 0.5408  3 As 3.04, 2 Cu 3.24, 2 Na 3.34
Rb: 0.5562 0.2500 0.1945  4 Na 3.44-3.76, 4 As 3.49-3.73, 4 Cu 3.57-3.66, 2 Rb 3.69
Rb: 0.4438 0.7500 0.8055  4 Na 3.44-3.76, 4 As 3.49-3.73, 4 Cu 3.57-3.66, 2 Rb 3.69

Its energy above the lowest structure with this stoichiometry is 0.000 eV per atom.

Material: RbNaCuAs
Method: DFT, PBE-GGA
State: optimized geometry

Unit cell a=5.5104 b=6.3851 c=6.3851 alpha=101.57 beta=90.00 gamma=90.00
Closest atoms and distances in Å follow each position.
Fractional positions:
As: 0.0000 0.2937 0.2937  2 Cu 2.33
As: 0.5000 0.7668 0.7668  2 Cu 2.38
Cu: 0.2572 0.5224 0.5224  2 As 2.33-2.38
Cu: 0.7428 0.5224 0.5224  2 As 2.33-2.38
Na: 0.0000 0.9768 0.6463  2 Cu 3.18, 3 As 3.22-3.32, 1 Na 3.27, 2 Rb 3.49
Na: 0.0000 0.6463 0.9768  2 Cu 3.18, 3 As 3.22-3.32, 1 Na 3.27, 2 Rb 3.49
Rb: 0.5000 0.9635 0.3082  4 As 3.41-3.48, 1 Rb 3.41, 4 Na 3.49-3.80, 4 Cu 3.62-3.80
Rb: 0.5000 0.3082 0.9635  4 As 3.41-3.48, 1 Rb 3.41, 4 Na 3.49-3.80, 4 Cu 3.62-3.80

Its energy above the lowest structure with this stoichiometry is 0.042 eV per atom.